Model w:
Compound: GdBe2Os
Source: the Alexandria database
Functional: PBE
Structure: optimized geometry

Unit cell a=6.1390 b=6.1390 c=6.1390 alpha=90.00 beta=90.00 gamma=90.00
With the nearest neighbours (Å) after each atom.
Space group Fm-3m (No. 225)
Asymmetric unit:
Gd 0.0000 0.0000 0.0000 (multiplicity 4)  8 Be 2.66
Be 0.2500 0.2500 0.2500 (multiplicity 8)  4 Os 2.66, 4 Gd 2.66
Os 0.0000 0.0000 0.5000 (multiplicity 4)  8 Be 2.66

Values from the calculation:
Total magnetic moment = 27.69 μB per cell

---

Model x:
Compound: GdBe2Os
Source: the Alexandria database
Functional: PBE
Structure: optimized geometry

Unit cell a=3.0915 b=3.0915 c=6.0617 alpha=90.00 beta=90.00 gamma=90.00
With the nearest neighbours (Å) after each atom.
Space group P4/mmm (No. 123)
Asymmetric unit:
Gd 0.0000 0.0000 0.0000 (multiplicity 1)  8 Be 2.97, 2 Os 3.03, 4 Gd 3.09
Be 0.5000 0.5000 0.3309 (multiplicity 2)  1 Be 2.05
Os 0.0000 0.0000 0.5000 (multiplicity 1)  8 Be 2.41

Values from the calculation:
Total magnetic moment = 7.19 μB per cell

---

Bottom line: model x, by a margin of 218 meV/atom.

---

Model w:
Compound: Gd2BePd
Source: the Alexandria database
Functional: PBE
Structure: optimized geometry

Unit cell a=3.5240 b=3.5240 c=6.8814 alpha=90.00 beta=90.00 gamma=90.00
With the nearest neighbours (Å) after each atom.
Space group P4/mmm (No. 123)
Asymmetric unit:
Gd 0.0000 0.0000 0.2426 (multiplicity 2)  4 Be 3.00, 4 Pd 3.06, 1 Gd 3.34
Be 0.5000 0.5000 0.0000 (multiplicity 1)  8 Gd 3.00
Pd 0.5000 0.5000 0.5000 (multiplicity 1)  8 Gd 3.06

Values from the calculation:
Total magnetic moment = 14.41 μB per cell

---

Model x:
Compound: Gd2BePd
Source: the Alexandria database
Functional: PBE
Structure: optimized geometry

Unit cell a=7.0270 b=7.0270 c=7.0270 alpha=90.00 beta=90.00 gamma=90.00
With the nearest neighbours (Å) after each atom.
Space group Fm-3m (No. 225)
Asymmetric unit:
Gd 0.2500 0.2500 0.2500 (multiplicity 8)  4 Be 3.04, 4 Pd 3.04
Be 0.0000 0.0000 0.0000 (multiplicity 4)  8 Gd 3.04
Pd 0.0000 0.0000 0.5000 (multiplicity 4)  8 Gd 3.04

Values from the calculation:
Total magnetic moment = 56.41 μB per cell

---

Bottom line: model w, by a margin of 43 meV/atom.